Record 1
Cu4AgAu7 | PBE | optimized geometry

Output
**Energy above the lowest structure with this stoichiometry**: 166 meV/atom
**Formation energy**: 157 meV per atom

abc: 11.0618 4.9875 9.2847
angles: 90.00 122.87 90.00
With the nearest neighbours (Å) after each atom.
Space group C2/m (No. 12)
Symmetry-distinct sites (fractional):
Cu1 0.0653 0.0000 0.2720 [4 per cell]  8 Au 2.58-2.86, 1 Cu 2.71
Cu2 0.2139 0.0000 0.8249 [4 per cell]  6 Au 2.64-2.82, 1 Cu 2.71
Ag1 0.0000 0.5000 0.5000 [2 per cell]  2 Au 2.49
Au1 0.0000 0.0000 0.5000 [2 per cell]  2 Ag 2.49, 4 Cu 2.58-2.64, 2 Au 2.79
Au2 0.0720 0.5000 0.8505 [4 per cell]  3 Cu 2.64-2.82, 2 Au 2.72-2.75, 1 Ag 2.90
Au3 0.1460 0.0000 0.0584 [4 per cell]  5 Cu 2.58-2.82, 2 Au 2.75-2.79
Au4 0.2128 0.5000 0.4030 [4 per cell]  4 Cu 2.64-2.86, 4 Au 2.72-2.92, 1 Ag 2.94

Record 2
K2SrLa | PBE | optimized geometry

Output
**Energy above the lowest structure with this stoichiometry**: 209 meV/atom
**Formation energy**: 402 meV per atom

abc: 5.4941 5.4941 7.0798
angles: 90.00 90.00 90.00
With the nearest neighbours (Å) after each atom.
Space group P4/mmm (No. 123)
Symmetry-distinct sites (fractional):
K1 0.0000 0.5000 0.0000 [2 per cell]  4 K 3.88
Sr1 0.0000 0.0000 0.5000 [1 per cell]  4 La 3.88
La1 0.5000 0.5000 0.5000 [1 per cell]  4 Sr 3.88